VASP calculation (GGA-PBEsol) on a relaxed TlFeTc2B crystal.

For the spin magnetization, the calculation gives 7.22 μB/f.u. The symmetry is P4/mmm, No. 123. The volume is 99 Å³/cell. As for the uncorrected energy: -5.412 eV per atom. The calculation puts the formation energy at 2.817 eV per atom.

```
TlFeTc2B
1.0
5.017 0.000 0.000
0.000 5.017 0.000
0.000 0.000 3.940
Tl Fe Tc B
1 1 2 1
Direct
0.000 0.000 0.000
0.500 0.500 0.500
0.000 0.500 0.000
0.500 0.000 0.000
0.000 0.000 0.500
```